1.
! YSc3Tl (GGA-PBEsol, optimized geometry); values from VASP
! Formation energy from the elements: 2.1 eV per formula unit
! Space-group type: No. 221
&SYSTEM
  ibrav = 0, nat = 5, ntyp = 3
/
ATOMIC_SPECIES
Sc 44.96 Sc.upf
Tl 204.38 Tl.upf
Y 88.91 Y.upf
ATOMIC_POSITIONS angstrom
Sc -1.2718 -1.0097 -2.1184
Sc 0.5111 -2.4708 0.8709
Sc -2.2904 0.0094 1.3706
Tl 0.0000 0.0000 0.0000
Y -3.0511 -3.4712 0.1231
CELL_PARAMETERS angstrom
-4.5807 0.0187 2.7413
-2.5436 -2.0194 -4.2367
1.0221 -4.9416 1.7417

2.
! Y2ScTl (GGA-PBEsol, optimized geometry); values from VASP
! Formation energy from the elements: -0.8 eV per formula unit
! Space-group type: No. 38
&SYSTEM
  ibrav = 0, nat = 4, ntyp = 3
/
ATOMIC_SPECIES
Y 88.91 Y.upf
Sc 44.96 Sc.upf
Tl 204.38 Tl.upf
ATOMIC_POSITIONS angstrom
Y 0.9753 0.2287 -0.1997
Y 5.4525 0.5266 1.3411
Sc 3.3917 2.5189 -0.2455
Tl 2.4410 1.5437 2.4064
CELL_PARAMETERS angstrom
-0.5694 3.3132 1.0142
1.2389 -1.2139 4.6610
6.1281 -0.2862 -1.7034

3.
! Y2ScTl (GGA-PBEsol, optimized geometry); values from VASP
! Formation energy from the elements: -0.9 eV per formula unit
! Space-group type: No. 139
&SYSTEM
  ibrav = 0, nat = 4, ntyp = 3
/
ATOMIC_SPECIES
Y 88.91 Y.upf
Sc 44.96 Sc.upf
Tl 204.38 Tl.upf
ATOMIC_POSITIONS angstrom
Y 1.7516 -0.2154 2.8422
Y 2.4024 -2.2845 0.4498
Sc -0.5601 -2.4794 1.9919
Tl 0.0000 0.0000 0.0000
CELL_PARAMETERS angstrom
-1.2110 -0.4103 4.3844
0.0907 -4.5485 -0.4006
5.2742 2.4589 -0.6918